# Pm4ThBi5

A relaxed structure of Pm4ThBi5 (PBE, Alexandria).

Summary:
Density = 9.052 g/cm³
Energy = -0.201 Ha/atom
Formation enthalpy at 0 K = -0.875 eV/atom

Cell lengths 16.5194, 16.5194, 16.5194 Å; angles 164.04, 164.04, 22.64 degrees
Fractional coordinates of all 10 atoms:
Pm (0.1017, 0.1017, 0.0000)
Pm (0.2996, 0.2996, 0.0000)
Pm (0.7004, 0.7004, 0.0000)
Pm (0.8983, 0.8983, 0.0000)
Th (0.5000, 0.5000, 0.0000)
Bi (0.0000, 0.0000, 0.0000)
Bi (0.2001, 0.2001, 0.0000)
Bi (0.4002, 0.4002, 0.0000)
Bi (0.5998, 0.5998, 0.0000)
Bi (0.7999, 0.7999, 0.0000)